[1]
Computed, not measured: a geometry-optimized Ce3TeBr7 structure at the GGA-PBE level of DFT.

a b c (Å): 8.895 8.895 7.058
angles (deg): 90.00 90.00 120.00
Atoms (fractional coordinates):
Ce (0.170, 0.340, 0.000)
Ce (0.170, 0.830, 0.000)
Ce (0.660, 0.830, 0.000)
Te (0.333, 0.667, 0.256)
Br (0.000, 0.000, 0.765)
Br (0.019, 0.510, 0.776)
Br (0.310, 0.155, 0.214)
Br (0.490, 0.510, 0.776)
Br (0.490, 0.981, 0.776)
Br (0.845, 0.155, 0.214)
Br (0.845, 0.690, 0.214)

The space-group type is P3m1, No. 156. The calculation puts the density of states at the Fermi level at 16.924 states/eV/cell. The formation energy (no corrections) comes out at -18.8 eV per formula unit.



[2]
Computed, not measured: a geometry-optimized AgRuI2O structure at the GGA-PBE level of DFT.

a b c (Å): 5.613 5.613 3.747
angles (deg): 90.00 90.00 90.00
Atoms (fractional coordinates):
Ag (0.000, 0.000, 0.000)
Ru (0.500, 0.500, 0.500)
I (0.000, 0.500, 0.500)
I (0.500, 0.000, 0.500)
O (0.500, 0.500, 0.000)

The space-group type is P4/mmm, No. 123. As for the energy above the most stable polymorph in this dataset: 0.000 eV per atom. The calculation puts the density of states at the Fermi level at 3.189 states/eV/cell. The formation energy (no corrections) comes out at -0.5 eV per formula unit.



[3]
Computed, not measured: a geometry-optimized Pm6HoSc2 structure at the GGA-PBE level of DFT.

a b c (Å): 9.472 9.472 6.661
angles (deg): 101.37 101.37 88.19
Atoms (fractional coordinates):
Pm (0.036, 0.450, 0.728)
Pm (0.112, 0.831, 0.997)
Pm (0.169, 0.888, 0.503)
Pm (0.289, 0.476, 0.184)
Pm (0.450, 0.036, 0.228)
Pm (0.476, 0.289, 0.684)
Pm (0.524, 0.711, 0.316)
Pm (0.550, 0.964, 0.772)
Pm (0.711, 0.524, 0.816)
Pm (0.831, 0.112, 0.497)
Pm (0.888, 0.169, 0.003)
Pm (0.964, 0.550, 0.272)
Ho (0.362, 0.638, 0.750)
Ho (0.638, 0.362, 0.250)
Sc (0.162, 0.214, 0.375)
Sc (0.214, 0.162, 0.875)
Sc (0.786, 0.838, 0.125)
Sc (0.838, 0.786, 0.625)

The space-group type is C2/c, No. 15. Its calculated formation energy is 13 kJ per mole of atoms. As for the energy above the most stable polymorph in this dataset: 0.057 eV per atom. The calculation puts the density of states at the Fermi level at 21.177 states/eV/cell.



[4]
Computed, not measured: a geometry-optimized DyCu2Si structure at the GGA-PBE level of DFT.

a b c (Å): 4.061 4.061 14.231
angles (deg): 90.00 90.00 120.00
Atoms (fractional coordinates):
Dy (0.000, 0.000, 0.000)
Dy (0.333, 0.667, 0.667)
Dy (0.667, 0.333, 0.333)
Cu (0.000, 0.000, 0.206)
Cu (0.000, 0.000, 0.794)
Cu (0.333, 0.667, 0.461)
Cu (0.333, 0.667, 0.873)
Cu (0.667, 0.333, 0.127)
Cu (0.667, 0.333, 0.539)
Si (0.000, 0.000, 0.500)
Si (0.333, 0.667, 0.167)
Si (0.667, 0.333, 0.833)

The space-group type is R-3m, No. 166. The calculation puts the density of states at the Fermi level at 6.623 states/eV/cell. The formation energy (no corrections) comes out at -1.5 eV per formula unit.



[5]
Computed, not measured: a geometry-optimized CsZrBi3 structure at the GGA-PBE level of DFT.

a b c (Å): 6.019 6.019 6.019
angles (deg): 90.00 90.00 90.00
Atoms (fractional coordinates):
Cs (0.000, 0.000, 0.000)
Zr (0.500, 0.500, 0.500)
Bi (0.000, 0.000, 0.500)
Bi (0.000, 0.500, 0.000)
Bi (0.500, 0.000, 0.000)

The space-group type is Pm-3m, No. 221. Its calculated formation energy is 166 kJ per mole of atoms. As for the energy above the most stable polymorph in this dataset: 1.845 eV per atom. The calculation puts the density of states at the Fermi level at 4.894 states/eV/cell.



[6]
Computed, not measured: a geometry-optimized CaSc2Cl structure at the GGA-PBE level of DFT.

a b c (Å): 8.453 8.453 5.824
angles (deg): 90.00 90.00 90.00
Atoms (fractional coordinates):
Ca (0.000, 0.000, 0.000)
Ca (0.000, 0.500, 0.250)
Ca (0.500, 0.000, 0.750)
Ca (0.500, 0.500, 0.500)
Sc (0.157, 0.250, 0.625)
Sc (0.250, 0.657, 0.875)
Sc (0.250, 0.843, 0.375)
Sc (0.343, 0.250, 0.125)
Sc (0.657, 0.750, 0.125)
Sc (0.750, 0.157, 0.375)
Sc (0.750, 0.343, 0.875)
Sc (0.843, 0.750, 0.625)
Cl (0.000, 0.000, 0.500)
Cl (0.000, 0.500, 0.750)
Cl (0.500, 0.000, 0.250)
Cl (0.500, 0.500, 0.000)

The space-group type is I-42d, No. 122. As for the energy above the most stable polymorph in this dataset: 0.341 eV per atom. The calculation puts the density of states at the Fermi level at 27.672 states/eV/cell. The formation energy (no corrections) comes out at -1.2 eV per formula unit.



[7]
Computed, not measured: a geometry-optimized Be2TcP structure at the GGA-PBE level of DFT.

a b c (Å): 6.299 6.299 4.756
angles (deg): 90.00 90.00 90.00
Atoms (fractional coordinates):
Be (0.208, 0.250, 0.125)
Be (0.250, 0.708, 0.375)
Be (0.250, 0.792, 0.875)
Be (0.292, 0.250, 0.625)
Be (0.708, 0.750, 0.625)
Be (0.750, 0.208, 0.875)
Be (0.750, 0.292, 0.375)
Be (0.792, 0.750, 0.125)
Tc (0.000, 0.000, 0.500)
Tc (0.000, 0.500, 0.750)
Tc (0.500, 0.000, 0.250)
Tc (0.500, 0.500, 0.000)
P (0.000, 0.000, 0.000)
P (0.000, 0.500, 0.250)
P (0.500, 0.000, 0.750)
P (0.500, 0.500, 0.500)

The space-group type is I-42d, No. 122. Its calculated formation energy is 26 kJ per mole of atoms. The calculation puts the density of states at the Fermi level at 12.549 states/eV/cell.



[8]
Computed, not measured: a geometry-optimized Li3Pm2PtO6 structure at the GGA-PBE level of DFT.

a b c (Å): 5.900 5.900 5.338
angles (deg): 97.71 97.71 122.54
Atoms (fractional coordinates):
Li (0.000, 0.000, 0.000)
Li (0.373, 0.627, 0.000)
Li (0.627, 0.373, 0.000)
Pm (0.169, 0.831, 0.500)
Pm (0.831, 0.169, 0.500)
Pt (0.500, 0.500, 0.500)
O (0.114, 0.432, 0.246)
O (0.260, 0.260, 0.738)
O (0.432, 0.114, 0.246)
O (0.568, 0.886, 0.754)
O (0.740, 0.740, 0.262)
O (0.886, 0.568, 0.754)

The space-group type is C2/m, No. 12. The calculation puts the density of states at the Fermi level at 1.017 states/eV/cell. The formation energy (no corrections) comes out at -24.5 eV per formula unit.



[9]
Computed, not measured: a geometry-optimized Tb2As3Au structure at the GGA-PBE level of DFT.

a b c (Å): 9.422 9.422 15.314
angles (deg): 90.00 90.00 90.00
Atoms (fractional coordinates):
Tb (0.000, 0.000, 0.174)
Tb (0.000, 0.000, 0.826)
As (0.000, 0.000, 0.000)
As (0.000, 0.000, 0.345)
As (0.000, 0.000, 0.655)
Au (0.000, 0.000, 0.500)

The space-group type is P4/mmm, No. 123. Its calculated formation energy is 97 kJ per mole of atoms. The calculation puts the density of states at the Fermi level at 7.765 states/eV/cell.



[10]
Computed, not measured: a geometry-optimized Sr2CrSbCl structure at the GGA-PBE level of DFT.

a b c (Å): 6.382 6.382 5.120
angles (deg): 90.00 90.00 90.00
Atoms (fractional coordinates):
Sr (0.000, 0.500, 0.000)
Sr (0.500, 0.000, 0.000)
Cr (0.000, 0.000, 0.500)
Sb (0.000, 0.000, 0.000)
Cl (0.500, 0.500, 0.500)

The space-group type is P4/mmm, No. 123. The calculation puts the density of states at the Fermi level at 3.834 states/eV/cell. The formation energy (no corrections) comes out at -1.8 eV per formula unit.



[11]
Computed, not measured: a geometry-optimized SiGeAu structure at the GGA-PBE level of DFT.

a b c (Å): 6.191 6.191 6.191
angles (deg): 90.00 90.00 90.00
Atoms (fractional coordinates):
Si (0.000, 0.000, 0.000)
Si (0.000, 0.500, 0.500)
Si (0.500, 0.000, 0.500)
Si (0.500, 0.500, 0.000)
Ge (0.000, 0.000, 0.500)
Ge (0.000, 0.500, 0.000)
Ge (0.500, 0.000, 0.000)
Ge (0.500, 0.500, 0.500)
Au (0.250, 0.250, 0.750)
Au (0.250, 0.750, 0.250)
Au (0.750, 0.250, 0.250)
Au (0.750, 0.750, 0.750)

The space-group type is F-43m, No. 216. As for the energy above the most stable polymorph in this dataset: 0.148 eV per atom. The calculation puts the density of states at the Fermi level at 3.911 states/eV/cell. The formation energy (no corrections) comes out at 0.6 eV per formula unit.



[12]
Computed, not measured: a geometry-optimized Ce2ZrS4 structure at the GGA-PBE level of DFT.

a b c (Å): 6.948 6.948 13.034
angles (deg): 90.00 90.00 148.92
Atoms (fractional coordinates):
Ce (0.133, 0.867, 0.576)
Ce (0.133, 0.867, 0.924)
Ce (0.867, 0.133, 0.076)
Ce (0.867, 0.133, 0.424)
Zr (0.364, 0.636, 0.750)
Zr (0.636, 0.364, 0.250)
S (0.007, 0.993, 0.750)
S (0.217, 0.783, 0.129)
S (0.217, 0.783, 0.371)
S (0.500, 0.500, 0.000)
S (0.500, 0.500, 0.500)
S (0.783, 0.217, 0.629)
S (0.783, 0.217, 0.871)
S (0.993, 0.007, 0.250)

The space-group type is Cmcm, No. 63. The calculation puts the density of states at the Fermi level at 26.286 states/eV/cell. The formation energy (no corrections) comes out at -11.9 eV per formula unit.



[13]
Computed, not measured: a geometry-optimized PrP3Ru3 structure at the GGA-PBE level of DFT.

a b c (Å): 7.885 7.885 7.885
angles (deg): 50.27 50.27 50.27
Atoms (fractional coordinates):
Pr (0.167, 0.167, 0.167)
Pr (0.833, 0.833, 0.833)
P (0.090, 0.722, 0.401)
P (0.278, 0.599, 0.910)
P (0.401, 0.090, 0.722)
P (0.599, 0.910, 0.278)
P (0.722, 0.401, 0.090)
P (0.910, 0.278, 0.599)
Ru (0.031, 0.381, 0.720)
Ru (0.280, 0.969, 0.619)
Ru (0.381, 0.720, 0.031)
Ru (0.619, 0.280, 0.969)
Ru (0.720, 0.031, 0.381)
Ru (0.969, 0.619, 0.280)

The space-group type is R-3, No. 148. Its calculated formation energy is -69 kJ per mole of atoms. The calculation puts the density of states at the Fermi level at 8.416 states/eV/cell.



[14]
Computed, not measured: a geometry-optimized RbLi3Br4 structure at the GGA-PBE level of DFT.

a b c (Å): 9.379 7.369 7.232
angles (deg): 90.00 90.00 90.00
Atoms (fractional coordinates):
Rb (0.000, 0.197, 0.000)
Rb (0.500, 0.803, 0.500)
Li (0.000, 0.801, 0.494)
Li (0.247, 0.332, 0.505)
Li (0.253, 0.668, 0.005)
Li (0.500, 0.199, 0.994)
Li (0.747, 0.668, 0.005)
Li (0.753, 0.332, 0.505)
Br (0.000, 0.151, 0.531)
Br (0.000, 0.756, 0.143)
Br (0.200, 0.635, 0.662)
Br (0.300, 0.365, 0.162)
Br (0.500, 0.244, 0.643)
Br (0.500, 0.849, 0.031)
Br (0.700, 0.365, 0.162)
Br (0.800, 0.635, 0.662)

The space-group type is Pmn2_1, No. 31. The calculation puts the density of states at the Fermi level at 0.000 states/eV/cell. The formation energy (no corrections) comes out at -12.5 eV per formula unit.



[15]
Computed, not measured: a geometry-optimized K2ScTa structure at the GGA-PBE level of DFT.

a b c (Å): 4.369 4.369 13.046
angles (deg): 90.00 90.00 90.00
Atoms (fractional coordinates):
K (0.000, 0.500, 0.250)
K (0.000, 0.500, 0.750)
K (0.500, 0.000, 0.250)
K (0.500, 0.000, 0.750)
Sc (0.000, 0.000, 0.000)
Sc (0.500, 0.500, 0.500)
Ta (0.000, 0.000, 0.500)
Ta (0.500, 0.500, 0.000)

The space-group type is I4/mmm, No. 139. Its calculated formation energy is 125 kJ per mole of atoms. As for the energy above the most stable polymorph in this dataset: 0.638 eV per atom. The calculation puts the density of states at the Fermi level at 8.624 states/eV/cell.



[16]
Computed, not measured: a geometry-optimized Ru4WCl structure at the GGA-PBE level of DFT.

a b c (Å): 5.123 5.123 5.123
angles (deg): 60.00 60.00 60.00
Atoms (fractional coordinates):
Ru (0.125, 0.125, 0.125)
Ru (0.125, 0.125, 0.625)
Ru (0.125, 0.625, 0.125)
Ru (0.625, 0.125, 0.125)
W (0.500, 0.500, 0.500)
Cl (0.750, 0.750, 0.750)

The space-group type is F-43m, No. 216. The calculation puts the density of states at the Fermi level at 9.812 states/eV/cell. The formation energy (no corrections) comes out at 6.2 eV per formula unit.



[17]
Computed, not measured: a geometry-optimized Al4CdTe structure at the GGA-PBE level of DFT.

a b c (Å): 5.597 5.597 5.597
angles (deg): 60.00 60.00 60.00
Atoms (fractional coordinates):
Al (0.124, 0.124, 0.124)
Al (0.124, 0.124, 0.627)
Al (0.124, 0.627, 0.124)
Al (0.627, 0.124, 0.124)
Cd (0.750, 0.750, 0.750)
Te (0.500, 0.500, 0.500)

The space-group type is F-43m, No. 216. The calculation puts the density of states at the Fermi level at 3.227 states/eV/cell. The formation energy (no corrections) comes out at 1.3 eV per formula unit.



[18]
Computed, not measured: a geometry-optimized HPdAu structure at the GGA-PBE level of DFT.

a b c (Å): 11.057 2.987 5.012
angles (deg): 90.00 116.52 90.00
Atoms (fractional coordinates):
H (0.196, 0.000, 0.061)
H (0.304, 0.500, 0.939)
H (0.696, 0.500, 0.061)
H (0.804, 0.000, 0.939)
Pd (0.120, 0.500, 0.834)
Pd (0.380, 0.000, 0.166)
Pd (0.620, 0.000, 0.834)
Pd (0.880, 0.500, 0.166)
Au (0.122, 0.000, 0.351)
Au (0.378, 0.500, 0.649)
Au (0.622, 0.500, 0.351)
Au (0.878, 0.000, 0.649)

The space-group type is C2/m, No. 12. As for the energy above the most stable polymorph in this dataset: 0.013 eV per atom. The calculation puts the density of states at the Fermi level at 2.519 states/eV/cell.



[19]
Computed, not measured: a geometry-optimized HfZnC3 structure at the GGA-PBE level of DFT.

a b c (Å): 3.866 3.866 3.866
angles (deg): 90.00 90.00 90.00
Atoms (fractional coordinates):
Hf (0.000, 0.000, 0.000)
Zn (0.500, 0.500, 0.500)
C (0.000, 0.500, 0.500)
C (0.500, 0.000, 0.500)
C (0.500, 0.500, 0.000)

The space-group type is Pm-3m, No. 221. Its calculated formation energy is 191 kJ per mole of atoms. As for the energy above the most stable polymorph in this dataset: 0.000 eV per atom. The calculation puts the density of states at the Fermi level at 2.719 states/eV/cell.



[20]
Computed, not measured: a geometry-optimized NaHfBe2Si structure at the GGA-PBE level of DFT.

a b c (Å): 4.975 4.975 5.048
angles (deg): 90.00 90.00 90.00
Atoms (fractional coordinates):
Na (0.000, 0.000, 0.000)
Hf (0.500, 0.500, 0.500)
Be (0.000, 0.500, 0.500)
Be (0.500, 0.000, 0.500)
Si (0.500, 0.500, 0.000)

The space-group type is P4/mmm, No. 123. The calculation puts the density of states at the Fermi level at 3.963 states/eV/cell. The formation energy (no corrections) comes out at 5.6 eV per formula unit.